Computed, not measured: an optimized crystal structure of BaTlS2 at the PBE level of DFT.

```
4
Lattice="3.357 -3.985 -1.167 1.933 -3.091 3.901 -1.618 -5.070 0.439" Properties=species:S:1:pos:R:3 pbc="T T T"
S 0.918 -3.037 0.793
S 2.754 -9.110 2.380
Ba 0.000 0.000 0.000
Tl 1.836 -6.073 1.587
```

## Properties
For the energy, the calculation gives -4.036 eV per atom.

Computed, not measured: an optimized crystal structure of Dy7Er12Bi at the PBE level of DFT.

```
20
Lattice="-7.231 1.960 -4.327 -4.527 -5.720 4.652 -2.021 6.083 5.811" Properties=species:S:1:pos:R:3 pbc="T T T"
Dy -7.798 0.843 -0.254
Dy -8.436 -1.783 2.116
Dy -7.782 4.045 1.379
Dy -5.998 -1.722 4.758
Dy -5.982 1.480 6.391
Dy -6.890 1.162 3.068
Dy -5.344 4.106 4.020
Er -6.639 -1.449 7.951
Er -8.951 3.565 4.746
Er -4.829 -1.242 1.390
Er -4.607 2.295 0.550
Er -6.504 -4.355 2.694
Er -10.405 1.217 2.372
Er -10.382 -1.133 -0.574
Er -3.398 3.456 6.710
Er -9.173 0.028 5.587
Er -7.277 6.678 3.443
Er -7.141 3.772 -1.814
Er -3.375 1.107 3.765
Bi 0.000 0.000 0.000
```

## Properties
The value obtained for the formation energy is 14.8 kJ per mole of atoms.

Computed, not measured: an optimized crystal structure of Dy3Tl3Cd at the PBE level of DFT.

```
14
Lattice="4.655 0.000 0.701 2.283 5.745 0.647 0.195 0.323 14.507" Properties=species:S:1:pos:R:3 pbc="T T T"
Dy 2.675 1.887 13.843
Dy 5.280 4.629 12.349
Dy 1.852 1.439 3.505
Dy 4.457 4.182 2.011
Dy 3.315 2.025 9.593
Dy 3.817 4.043 6.261
Tl 5.797 4.393 8.922
Tl 4.491 1.053 1.788
Tl 0.670 1.521 11.351
Tl 1.336 1.675 6.932
Tl 2.642 5.015 14.066
Tl 6.462 4.547 4.503
Cd 3.856 0.728 6.002
Cd 3.276 5.340 9.852
```

## Properties
The value obtained for the formation energy is -26.1 kJ per mole of atoms.

Computed, not measured: an optimized crystal structure of EuErAlCu at the PBE level of DFT.

```
4
Lattice="-2.921 4.198 -0.047 -5.020 -0.367 0.907 -1.948 1.809 4.370" Properties=species:S:1:pos:R:3 pbc="T T T"
Al -7.417 4.230 3.923
Eu 0.000 0.000 0.000
Er -4.945 2.820 2.615
Cu -2.472 1.410 1.308
```

## Properties
The value obtained for the formation energy is -16.9 kJ per mole of atoms.

Computed, not measured: an optimized crystal structure of HgTe2Br at the PBE level of DFT.

```
4
Lattice="-1.511 4.455 4.366 -4.649 2.857 3.378 3.193 -7.052 1.264" Properties=species:S:1:pos:R:3 pbc="T T T"
Te -2.418 0.451 6.950
Te 2.617 -6.193 1.703
Br -1.461 0.354 4.068
Hg 0.003 -1.276 2.053
```

## Properties
For the energy, the calculation gives -2.175 eV per atom.

Computed, not measured: an optimized crystal structure of Sc12Co6Rh at the PBE level of DFT.

```
19
Lattice="7.242 0.000 -2.560 -3.621 6.271 -2.560 0.000 0.000 7.681" Properties=species:S:1:pos:R:3 pbc="T T T"
Sc 2.818 1.227 0.490
Sc 3.274 3.218 3.050
Sc 5.840 1.227 2.627
Sc 1.858 5.671 -2.627
Sc -1.150 4.445 4.630
Sc -2.219 5.045 -0.067
Sc 0.362 1.827 2.493
Sc 0.803 5.045 2.070
Sc 1.763 0.600 5.188
Sc 0.347 3.054 -0.490
Sc 4.771 1.827 -2.070
Sc 3.259 4.445 0.067
Co 0.440 5.510 -0.622
Co -1.371 3.897 1.938
Co 4.992 2.374 0.622
Co 2.690 3.136 -1.938
Co 0.931 3.136 4.499
Co 3.181 0.762 3.182
Rh 0.000 0.000 0.000
```

## Properties
The value obtained for the formation energy is -29.8 kJ per mole of atoms.

Computed, not measured: an optimized crystal structure of Hf3Ga4Pt at the PBE level of DFT.

```
8
Lattice="3.673 0.000 0.000 0.000 6.083 0.000 -1.836 -3.042 6.905" Properties=species:S:1:pos:R:3 pbc="T T T"
Hf 1.836 3.042 4.315
Hf 0.000 0.000 2.590
Hf 0.000 3.042 0.000
Ga 0.000 -1.223 5.123
Ga 0.000 1.223 5.123
Ga 1.836 4.265 1.782
Ga 1.836 1.819 1.782
Pt 1.836 0.000 0.000
```

## Properties
The value obtained for the formation energy is -23.4 kJ per mole of atoms.

Computed, not measured: an optimized crystal structure of CaRhSe2 at the PBE level of DFT.

```
4
Lattice="-0.183 -1.510 -3.018 -2.914 -1.455 0.904 -4.175 6.498 -2.999" Properties=species:S:1:pos:R:3 pbc="T T T"
Rh -4.846 3.650 -3.426
Ca -2.117 3.295 -1.520
Se -2.842 0.530 -1.986
Se -3.730 5.805 -2.679
```

## Properties
For the energy, the calculation gives -4.704 eV per atom.

Number 1: calculated volume 107.7 Å³ per cell. Number 2: calculated volume 647.4 Å³ per cell. Number 3: calculated volume 386.7 Å³ per cell. Number 4: calculated volume 94.6 Å³ per cell. Number 5: calculated volume 136.1 Å³ per cell. Number 6: calculated volume 348.8 Å³ per cell. Number 7: calculated volume 154.3 Å³ per cell. Number 8: calculated volume 94.7 Å³ per cell.